The following is a PBE calculation of a relaxed KS2Br crystal, from the Alexandria database.

Output
Energy above the lowest structure with this stoichiometry (eV per atom): 0.063
Symmetry: R-3m (166)
Formation energy from raw total energies (eV per atom): 0.093
Uncorrected energy (eV/cell): -10.65

a = 9.127 Å, b = 9.127 Å, c = 9.127 Å
α = 26.98°, β = 26.98°, γ = 26.98°
Fractional positions:
K 0.500 0.500 0.500
S 0.912 0.912 0.912
S 0.088 0.088 0.088
Br 0.000 0.000 0.000